DFT (PBE-GGA) results for a relaxed structure of Mg11Zn4Cd9.

Geometry as extended XYZ:
```
24
Lattice="7.2506 -10.6591 0.0000 7.2506 10.6591 0.0000 0.0000 0.0000 3.2055" Properties=species:S:1:pos:R:3 pbc="T T T"
Mg 0.0000 0.0000 0.0000
Mg 3.3374 3.8092 0.0000
Mg 7.2506 7.2940 0.0000
Mg 4.3203 0.0000 0.0000
Mg 7.2506 2.7058 0.0000
Mg 3.3374 -3.8092 0.0000
Mg 11.1638 3.8092 0.0000
Mg 7.2506 -2.7058 0.0000
Mg 10.1808 0.0000 0.0000
Mg 7.2506 -7.2940 0.0000
Mg 11.1638 -3.8092 0.0000
Zn 4.9934 2.1797 1.6027
Zn 4.9934 -2.1797 1.6027
Zn 9.5077 2.1797 1.6027
Zn 9.5077 -2.1797 1.6027
Cd 2.0494 1.5873 1.6027
Cd 5.7477 4.9982 1.6027
Cd 2.0494 -1.5873 1.6027
Cd 8.7535 4.9982 1.6027
Cd 7.2506 0.0000 1.6027
Cd 5.7477 -4.9982 1.6027
Cd 12.4517 1.5873 1.6027
Cd 8.7535 -4.9982 1.6027
Cd 12.4517 -1.5873 1.6027
```

Output
The value obtained for the total energy is -1.37 eV per atom. The space group is Cmmm (65).

***

DFT (PBE-GGA) results for a relaxed structure of Mg6ZnCd2.

Geometry as extended XYZ:
```
18
Lattice="5.7755 0.0000 0.0000 0.0000 9.8312 0.0000 -0.6964 0.0000 7.0078" Properties=species:S:1:pos:R:3 pbc="T T T"
Mg -0.2802 1.6424 3.0841
Mg -0.6284 3.2732 6.5880
Mg 0.7422 5.3536 4.6471
Mg 1.0904 9.3932 1.1432
Mg 2.4192 6.9593 2.5009
Mg 2.0710 7.7875 6.0048
Mg 3.0081 2.0437 1.0030
Mg 2.6599 2.8719 4.5069
Mg 3.9886 0.4380 5.8646
Mg 4.3369 4.4776 2.3607
Mg 5.7075 6.5580 0.4198
Mg 5.3593 8.1888 3.9237
Zn 2.5395 0.0000 3.5039
Zn 2.8878 4.9156 0.0000
Cd 1.0020 0.7645 5.6176
Cd 1.3502 4.1511 2.1137
Cd 3.7289 5.6801 4.8941
Cd 4.0771 9.0668 1.3902
```

Output
The calculation puts the energy above the most stable polymorph in this dataset at 0 meV per atom. The space group is P2_1/c (14).

***

DFT (PBE-GGA) results for a relaxed structure of Mg3Zn2Cd.

Geometry as extended XYZ:
```
12
Lattice="4.9764 0.0000 0.0000 0.0000 14.9079 0.0000 0.0000 0.0000 3.1330" Properties=species:S:1:pos:R:3 pbc="T T T"
Mg 0.0000 0.0000 0.0000
Mg 0.0000 4.8311 0.0000
Mg 0.0000 10.0769 0.0000
Mg 2.4882 2.6229 0.0000
Mg 2.4882 7.4540 0.0000
Mg 2.4882 12.2851 0.0000
Zn 0.0000 2.4253 1.5665
Zn 0.0000 12.4826 1.5665
Zn 2.4882 5.0287 1.5665
Zn 2.4882 9.8793 1.5665
Cd 0.0000 7.4540 1.5665
Cd 2.4882 0.0000 1.5665
```

Output
The calculation puts the energy above the most stable polymorph in this dataset at 7 meV per atom. The space group is Cmmm (65).